Record 1
An optimized crystal structure of SbAuS3, computed with PBE.

As for the formation energy without anion corrections: -0.07 eV/atom. The value obtained for the theoretical density is 4.80 Mg/m³. The calculation puts the magnetic moment at 0.00 μB per formula unit. Its energy above the most stable polymorph in this dataset is 0 meV per atom.

Lattice parameters (Å, degrees): 8.561 6.245 12.139 90.00 117.72 90.00
Fractional positions:
Sb 0.238 0.217 0.243
Sb 0.238 0.283 0.743
Sb 0.762 0.717 0.257
Sb 0.762 0.783 0.757
Au 0.410 0.726 0.400
Au 0.410 0.774 0.900
Au 0.590 0.226 0.100
Au 0.590 0.274 0.600
S 0.128 0.640 0.762
S 0.128 0.860 0.262
S 0.301 0.096 0.952
S 0.301 0.404 0.452
S 0.475 0.522 0.161
S 0.475 0.978 0.661
S 0.525 0.022 0.339
S 0.525 0.478 0.839
S 0.699 0.596 0.548
S 0.699 0.904 0.048
S 0.872 0.140 0.738
S 0.872 0.360 0.238

=====

Record 2
An optimized crystal structure of Sb2Au2S5, computed with PBE.

As for the formation energy without anion corrections: 0.01 eV/atom. The value obtained for the theoretical density is 6.20 Mg/m³. The calculation puts the magnetic moment at 0.00 μB per formula unit.

Lattice parameters (Å, degrees): 8.335 8.335 6.621 95.09 95.09 27.80
Fractional positions:
Sb 0.063 0.063 0.308
Sb 0.937 0.937 0.692
Au 0.353 0.353 0.136
Au 0.647 0.647 0.864
S 0.178 0.178 0.079
S 0.359 0.359 0.505
S 0.500 0.500 0.000
S 0.641 0.641 0.495
S 0.822 0.822 0.921

=====

Record 3
An optimized crystal structure of Sb2AuS, computed with PBE.

As for the formation energy without anion corrections: -0.03 eV/atom. The value obtained for the theoretical density is 7.57 Mg/m³. The calculation puts the magnetic moment at 0.00 μB per formula unit.

Lattice parameters (Å, degrees): 7.453 3.574 15.571 90.00 90.00 90.00
Fractional positions:
Sb 0.111 0.250 0.223
Sb 0.199 0.250 0.496
Sb 0.301 0.750 0.996
Sb 0.389 0.750 0.723
Sb 0.611 0.250 0.277
Sb 0.699 0.250 0.004
Sb 0.801 0.750 0.504
Sb 0.889 0.750 0.777
Au 0.079 0.750 0.622
Au 0.421 0.250 0.122
Au 0.579 0.750 0.878
Au 0.921 0.250 0.378
S 0.071 0.250 0.852
S 0.429 0.750 0.352
S 0.571 0.250 0.648
S 0.929 0.750 0.148

=====

Record 4
An optimized crystal structure of Sb6Au3S, computed with PBE.

As for the formation energy without anion corrections: -0.03 eV/atom. The value obtained for the theoretical density is 8.61 Mg/m³. The calculation puts the magnetic moment at 0.00 μB per formula unit.

Lattice parameters (Å, degrees): 4.298 9.226 13.200 86.42 88.00 88.95
Fractional positions:
Sb 0.168 0.425 0.378
Sb 0.230 0.128 0.061
Sb 0.242 0.100 0.582
Sb 0.262 0.820 0.765
Sb 0.269 0.521 0.085
Sb 0.276 0.226 0.786
Sb 0.724 0.774 0.214
Sb 0.731 0.479 0.915
Sb 0.738 0.180 0.235
Sb 0.758 0.900 0.418
Sb 0.770 0.872 0.939
Sb 0.832 0.575 0.622
Au 0.236 0.085 0.358
Au 0.240 0.825 0.083
Au 0.277 0.521 0.766
Au 0.723 0.479 0.234
Au 0.760 0.175 0.917
Au 0.764 0.915 0.642
S 0.183 0.667 0.466
S 0.817 0.333 0.534

=====

Record 5
An optimized crystal structure of Sb2AuS, computed with PBE.

As for the formation energy without anion corrections: -0.02 eV/atom. The value obtained for the theoretical density is 8.36 Mg/m³. The calculation puts the magnetic moment at 0.00 μB per formula unit.

Lattice parameters (Å, degrees): 7.477 7.477 7.477 30.23 30.23 30.23
Fractional positions:
Sb 0.247 0.247 0.247
Sb 0.753 0.753 0.753
Au 0.500 0.500 0.500
S 0.000 0.000 0.000

=====

Record 6
An optimized crystal structure of Sb2AuS3, computed with PBE.

As for the formation energy without anion corrections: -0.09 eV/atom. The value obtained for the theoretical density is 5.23 Mg/m³. The calculation puts the magnetic moment at 0.00 μB per formula unit.

Lattice parameters (Å, degrees): 6.666 6.666 8.370 90.00 90.00 66.37
Fractional positions:
Sb 0.061 0.625 0.500
Sb 0.375 0.939 0.500
Sb 0.625 0.061 0.000
Sb 0.939 0.375 0.000
Au 0.402 0.598 0.709
Au 0.598 0.402 0.209
S 0.064 0.936 0.341
S 0.287 0.330 0.314
S 0.330 0.287 0.814
S 0.670 0.713 0.314
S 0.713 0.670 0.814
S 0.936 0.064 0.841